No. 1
The following is a DFT calculation (PBE-GGA) of a relaxed BaLiEuSi crystal.

## Properties
Formation energy without anion corrections (eV per atom): -0.152

abc: 7.8554 7.8554 7.8554
angles: 90.00 90.00 90.00
With the nearest neighbours (Å) after each atom.
Sites, in units of the cell vectors:
Ba: 0.0000 0.0000 0.0000  4 Li 3.40, 4 Si 3.40
Ba: 0.0000 0.5000 0.5000  4 Li 3.40, 4 Si 3.40
Ba: 0.5000 0.0000 0.5000  4 Li 3.40, 4 Si 3.40
Ba: 0.5000 0.5000 0.0000  4 Li 3.40, 4 Si 3.40
Li: 0.2500 0.2500 0.2500  4 Eu 3.40, 4 Ba 3.40
Li: 0.2500 0.7500 0.7500  4 Ba 3.40, 4 Eu 3.40
Li: 0.7500 0.2500 0.7500  4 Ba 3.40, 4 Eu 3.40
Li: 0.7500 0.7500 0.2500  4 Ba 3.40, 4 Eu 3.40
Eu: 0.0000 0.0000 0.5000  4 Si 3.40, 4 Li 3.40
Eu: 0.0000 0.5000 0.0000  4 Si 3.40, 4 Li 3.40
Eu: 0.5000 0.0000 0.0000  4 Si 3.40, 4 Li 3.40
Eu: 0.5000 0.5000 0.5000  4 Si 3.40, 4 Li 3.40
Si: 0.2500 0.2500 0.7500  4 Ba 3.40, 4 Eu 3.40
Si: 0.2500 0.7500 0.2500  4 Ba 3.40, 4 Eu 3.40
Si: 0.7500 0.2500 0.2500  4 Ba 3.40, 4 Eu 3.40
Si: 0.7500 0.7500 0.7500  4 Ba 3.40, 4 Eu 3.40

***

No. 2
The following is a DFT calculation (PBE-GGA) of a relaxed BaSrLiEu crystal.

## Properties
Formation energy from the elements (meV/atom): 119

abc: 9.0989 9.0989 9.0989
angles: 90.00 90.00 90.00
With the nearest neighbours (Å) after each atom.
Sites, in units of the cell vectors:
Ba: 0.0000 0.0000 0.0000  4 Li 3.94, 4 Eu 3.94
Ba: 0.0000 0.5000 0.5000  4 Li 3.94, 4 Eu 3.94
Ba: 0.5000 0.0000 0.5000  4 Li 3.94, 4 Eu 3.94
Ba: 0.5000 0.5000 0.0000  4 Li 3.94, 4 Eu 3.94
Sr: 0.0000 0.0000 0.5000  4 Li 3.94, 4 Eu 3.94
Sr: 0.0000 0.5000 0.0000  4 Li 3.94, 4 Eu 3.94
Sr: 0.5000 0.0000 0.0000  4 Li 3.94, 4 Eu 3.94
Sr: 0.5000 0.5000 0.5000  4 Li 3.94, 4 Eu 3.94
Li: 0.2500 0.2500 0.2500  4 Ba 3.94, 4 Sr 3.94
Li: 0.2500 0.7500 0.7500  4 Ba 3.94, 4 Sr 3.94
Li: 0.7500 0.2500 0.7500  4 Ba 3.94, 4 Sr 3.94
Li: 0.7500 0.7500 0.2500  4 Ba 3.94, 4 Sr 3.94
Eu: 0.2500 0.2500 0.7500  4 Ba 3.94, 4 Sr 3.94
Eu: 0.2500 0.7500 0.2500  4 Ba 3.94, 4 Sr 3.94
Eu: 0.7500 0.2500 0.2500  4 Ba 3.94, 4 Sr 3.94
Eu: 0.7500 0.7500 0.7500  4 Sr 3.94, 4 Ba 3.94

***

No. 3
The following is a DFT calculation (PBE-GGA) of a relaxed Ba2EuLu crystal.

## Properties
Formation energy from the elements (meV/atom): 207

abc: 4.3691 4.3691 10.0014
angles: 90.00 90.00 90.00
With the nearest neighbours (Å) after each atom.
Sites, in units of the cell vectors:
Ba: 0.0000 0.0000 0.2220  4 Lu 3.80, 4 Eu 4.16
Ba: 0.0000 0.0000 0.7780  4 Lu 3.80, 4 Eu 4.16
Eu: 0.5000 0.5000 0.5000  8 Ba 4.16, 4 Eu 4.37
Lu: 0.5000 0.5000 0.0000  8 Ba 3.80

***

No. 4
The following is a DFT calculation (PBE-GGA) of a relaxed BaEuLu crystal.

## Properties
Formation energy from the elements (meV/atom): 203

abc: 3.9849 3.9849 15.9579
angles: 90.00 90.00 90.00
With the nearest neighbours (Å) after each atom.
Sites, in units of the cell vectors:
Ba: 0.0000 0.0000 0.0000  4 Lu 3.87, 4 Ba 3.98, 4 Eu 4.16
Ba: 0.5000 0.5000 0.5000  4 Lu 3.87, 4 Ba 3.98, 4 Eu 4.16
Eu: 0.0000 0.0000 0.3078  4 Lu 3.61, 4 Eu 3.98
Eu: 0.5000 0.5000 0.8078  4 Lu 3.61, 4 Eu 3.98
Lu: 0.0000 0.0000 0.6666  4 Eu 3.61, 4 Ba 3.87, 4 Lu 3.98
Lu: 0.5000 0.5000 0.1666  4 Eu 3.61, 4 Ba 3.87, 4 Lu 3.98

***

No. 5
The following is a DFT calculation (PBE-GGA) of a relaxed BaEuMg crystal.

## Properties
Distance to the lowest polymorph of the same formula (eV/atom): 0.090
Formation energy from the elements (meV/atom): 74

abc: 6.0314 6.0314 3.9090
angles: 90.00 90.00 120.00
With the nearest neighbours (Å) after each atom.
Sites, in units of the cell vectors:
Ba: 0.0000 0.0000 0.0000  3 Mg 3.77, 6 Eu 3.81-4.21, 2 Ba 3.91
Eu: 0.3333 0.6667 0.6031  3 Mg 3.60, 3 Ba 3.81, 2 Eu 3.91
Mg: 0.6667 0.3333 0.3722  3 Eu 3.60, 3 Ba 3.77, 2 Mg 3.91

***

No. 6
The following is a DFT calculation (PBE-GGA) of a relaxed BaEu2Mg crystal.

## Properties
Distance to the lowest polymorph of the same formula (eV/atom): 0.000
Formation energy from the elements (meV/atom): -3

abc: 4.1314 4.1314 9.9929
angles: 90.00 90.00 90.00
With the nearest neighbours (Å) after each atom.
Sites, in units of the cell vectors:
Ba: 0.0000 0.0000 0.0000  4 Ba 4.13, 8 Eu 4.24
Eu: 0.5000 0.5000 0.3075  4 Mg 3.50, 1 Eu 3.85
Eu: 0.5000 0.5000 0.6925  4 Mg 3.50, 1 Eu 3.85
Mg: 0.0000 0.0000 0.5000  8 Eu 3.50

***

No. 7
The following is a DFT calculation (PBE-GGA) of a relaxed BaEu2Mg crystal.

## Properties
Distance to the lowest polymorph of the same formula (eV/atom): 0.068
Formation energy from the elements (meV/atom): 65

abc: 8.6024 8.6024 8.6024
angles: 90.00 90.00 90.00
With the nearest neighbours (Å) after each atom.
Sites, in units of the cell vectors:
Ba: 0.0000 0.0000 0.0000  8 Eu 3.72
Ba: 0.0000 0.5000 0.5000  8 Eu 3.72
Ba: 0.5000 0.0000 0.5000  8 Eu 3.72
Ba: 0.5000 0.5000 0.0000  8 Eu 3.72
Eu: 0.2500 0.2500 0.2500  4 Ba 3.72, 4 Mg 3.72
Eu: 0.2500 0.2500 0.7500  4 Ba 3.72, 4 Mg 3.72
Eu: 0.2500 0.7500 0.2500  4 Ba 3.72, 4 Mg 3.72
Eu: 0.2500 0.7500 0.7500  4 Ba 3.72, 4 Mg 3.72
Eu: 0.7500 0.2500 0.2500  4 Ba 3.72, 4 Mg 3.72
Eu: 0.7500 0.2500 0.7500  4 Ba 3.72, 4 Mg 3.72
Eu: 0.7500 0.7500 0.2500  4 Ba 3.72, 4 Mg 3.72
Eu: 0.7500 0.7500 0.7500  4 Ba 3.72, 4 Mg 3.72
Mg: 0.0000 0.0000 0.5000  8 Eu 3.72
Mg: 0.0000 0.5000 0.0000  8 Eu 3.72
Mg: 0.5000 0.0000 0.0000  8 Eu 3.72
Mg: 0.5000 0.5000 0.5000  8 Eu 3.72

***

No. 8
The following is a DFT calculation (PBE-GGA) of a relaxed BaEu2Mg crystal.

## Properties
Distance to the lowest polymorph of the same formula (eV/atom): 0.054
Formation energy from the elements (meV/atom): 51

abc: 5.4506 5.4506 5.6278
angles: 90.00 90.00 90.00
With the nearest neighbours (Å) after each atom.
Sites, in units of the cell vectors:
Ba: 0.0000 0.0000 0.0000  4 Mg 3.85, 8 Eu 3.92
Eu: 0.0000 0.5000 0.5000  4 Eu 3.85, 4 Ba 3.92, 4 Mg 3.92
Eu: 0.5000 0.0000 0.5000  4 Eu 3.85, 4 Ba 3.92, 4 Mg 3.92
Mg: 0.5000 0.5000 0.0000  4 Ba 3.85, 8 Eu 3.92

***

No. 9
The following is a DFT calculation (PBE-GGA) of a relaxed BaEuMg crystal.

## Properties
Distance to the lowest polymorph of the same formula (eV/atom): 0.000
Formation energy from the elements (meV/atom): -16

abc: 4.1712 4.1712 14.5702
angles: 90.00 90.00 90.00
With the nearest neighbours (Å) after each atom.
Sites, in units of the cell vectors:
Ba: 0.0000 0.0000 0.0000  4 Mg 3.73, 1 Eu 4.15, 4 Ba 4.17
Ba: 0.5000 0.5000 0.5000  4 Mg 3.73, 1 Eu 4.15, 4 Ba 4.17
Eu: 0.0000 0.0000 0.2850  4 Mg 3.49
Eu: 0.5000 0.5000 0.7850  4 Mg 3.49
Mg: 0.0000 0.0000 0.6565  4 Eu 3.49, 4 Ba 3.73
Mg: 0.5000 0.5000 0.1565  4 Eu 3.49, 4 Ba 3.73

***

No. 10
The following is a DFT calculation (PBE-GGA) of a relaxed BaNdEuMg crystal.

## Properties
Formation energy from the elements (meV/atom): 120

abc: 8.5095 8.5095 8.5095
angles: 90.00 90.00 90.00
With the nearest neighbours (Å) after each atom.
Sites, in units of the cell vectors:
Ba: 0.0000 0.0000 0.0000  4 Mg 3.68, 4 Eu 3.68
Ba: 0.0000 0.5000 0.5000  4 Mg 3.68, 4 Eu 3.68
Ba: 0.5000 0.0000 0.5000  4 Mg 3.68, 4 Eu 3.68
Ba: 0.5000 0.5000 0.0000  4 Mg 3.68, 4 Eu 3.68
Nd: 0.0000 0.0000 0.5000  4 Eu 3.68, 4 Mg 3.68
Nd: 0.0000 0.5000 0.0000  4 Eu 3.68, 4 Mg 3.68
Nd: 0.5000 0.0000 0.0000  4 Eu 3.68, 4 Mg 3.68
Nd: 0.5000 0.5000 0.5000  4 Eu 3.68, 4 Mg 3.68
Eu: 0.2500 0.2500 0.2500  4 Ba 3.68, 4 Nd 3.68
Eu: 0.2500 0.7500 0.7500  4 Ba 3.68, 4 Nd 3.68
Eu: 0.7500 0.2500 0.7500  4 Ba 3.68, 4 Nd 3.68
Eu: 0.7500 0.7500 0.2500  4 Ba 3.68, 4 Nd 3.68
Mg: 0.2500 0.2500 0.7500  4 Ba 3.68, 4 Nd 3.68
Mg: 0.2500 0.7500 0.2500  4 Ba 3.68, 4 Nd 3.68
Mg: 0.7500 0.2500 0.2500  4 Ba 3.68, 4 Nd 3.68
Mg: 0.7500 0.7500 0.7500  4 Ba 3.68, 4 Nd 3.68

***

No. 11
The following is a DFT calculation (PBE-GGA) of a relaxed BaPmEuMg crystal.

## Properties
Formation energy from the elements (meV/atom): 128

abc: 8.4887 8.4887 8.4887
angles: 90.00 90.00 90.00
With the nearest neighbours (Å) after each atom.
Sites, in units of the cell vectors:
Ba: 0.0000 0.0000 0.0000  4 Mg 3.68, 4 Eu 3.68
Ba: 0.0000 0.5000 0.5000  4 Mg 3.68, 4 Eu 3.68
Ba: 0.5000 0.0000 0.5000  4 Mg 3.68, 4 Eu 3.68
Ba: 0.5000 0.5000 0.0000  4 Mg 3.68, 4 Eu 3.68
Pm: 0.0000 0.0000 0.5000  4 Eu 3.68, 4 Mg 3.68
Pm: 0.0000 0.5000 0.0000  4 Eu 3.68, 4 Mg 3.68
Pm: 0.5000 0.0000 0.0000  4 Eu 3.68, 4 Mg 3.68
Pm: 0.5000 0.5000 0.5000  4 Eu 3.68, 4 Mg 3.68
Eu: 0.2500 0.2500 0.2500  4 Ba 3.68, 4 Pm 3.68
Eu: 0.2500 0.7500 0.7500  4 Ba 3.68, 4 Pm 3.68
Eu: 0.7500 0.2500 0.7500  4 Ba 3.68, 4 Pm 3.68
Eu: 0.7500 0.7500 0.2500  4 Ba 3.68, 4 Pm 3.68
Mg: 0.2500 0.2500 0.7500  4 Ba 3.68, 4 Pm 3.68
Mg: 0.2500 0.7500 0.2500  4 Ba 3.68, 4 Pm 3.68
Mg: 0.7500 0.2500 0.2500  4 Ba 3.68, 4 Pm 3.68
Mg: 0.7500 0.7500 0.7500  4 Ba 3.68, 4 Pm 3.68

***

No. 12
The following is a DFT calculation (PBE-GGA) of a relaxed BaEuMgSi crystal.

## Properties
Formation energy without anion corrections (eV per atom): -0.145

abc: 7.9340 7.9340 7.9340
angles: 90.00 90.00 90.00
With the nearest neighbours (Å) after each atom.
Sites, in units of the cell vectors:
Ba: 0.0000 0.0000 0.0000  4 Mg 3.44, 4 Si 3.44
Ba: 0.0000 0.5000 0.5000  4 Mg 3.44, 4 Si 3.44
Ba: 0.5000 0.0000 0.5000  4 Mg 3.44, 4 Si 3.44
Ba: 0.5000 0.5000 0.0000  4 Mg 3.44, 4 Si 3.44
Eu: 0.0000 0.0000 0.5000  4 Mg 3.44, 4 Si 3.44
Eu: 0.0000 0.5000 0.0000  4 Mg 3.44, 4 Si 3.44
Eu: 0.5000 0.0000 0.0000  4 Mg 3.44, 4 Si 3.44
Eu: 0.5000 0.5000 0.5000  4 Mg 3.44, 4 Si 3.44
Mg: 0.2500 0.2500 0.2500  4 Ba 3.44, 4 Eu 3.44
Mg: 0.2500 0.7500 0.7500  4 Ba 3.44, 4 Eu 3.44
Mg: 0.7500 0.2500 0.7500  4 Ba 3.44, 4 Eu 3.44
Mg: 0.7500 0.7500 0.2500  4 Ba 3.44, 4 Eu 3.44
Si: 0.2500 0.2500 0.7500  4 Ba 3.44, 4 Eu 3.44
Si: 0.2500 0.7500 0.2500  4 Ba 3.44, 4 Eu 3.44
Si: 0.7500 0.2500 0.2500  4 Ba 3.44, 4 Eu 3.44
Si: 0.7500 0.7500 0.7500  4 Eu 3.44, 4 Ba 3.44

***

No. 13
The following is a DFT calculation (PBE-GGA) of a relaxed BaEuMgSn crystal.

## Properties
Formation energy from the elements (meV/atom): -395

abc: 8.2371 8.2371 8.2371
angles: 90.00 90.00 90.00
With the nearest neighbours (Å) after each atom.
Sites, in units of the cell vectors:
Ba: 0.0000 0.0000 0.0000  4 Mg 3.57, 4 Sn 3.57
Ba: 0.0000 0.5000 0.5000  4 Mg 3.57, 4 Sn 3.57
Ba: 0.5000 0.0000 0.5000  4 Mg 3.57, 4 Sn 3.57
Ba: 0.5000 0.5000 0.0000  4 Mg 3.57, 4 Sn 3.57
Eu: 0.0000 0.0000 0.5000  4 Sn 3.57, 4 Mg 3.57
Eu: 0.0000 0.5000 0.0000  4 Sn 3.57, 4 Mg 3.57
Eu: 0.5000 0.0000 0.0000  4 Sn 3.57, 4 Mg 3.57
Eu: 0.5000 0.5000 0.5000  4 Sn 3.57, 4 Mg 3.57
Mg: 0.2500 0.2500 0.2500  4 Eu 3.57, 4 Ba 3.57
Mg: 0.2500 0.7500 0.7500  4 Eu 3.57, 4 Ba 3.57
Mg: 0.7500 0.2500 0.7500  4 Eu 3.57, 4 Ba 3.57
Mg: 0.7500 0.7500 0.2500  4 Eu 3.57, 4 Ba 3.57
Sn: 0.2500 0.2500 0.7500  4 Ba 3.57, 4 Eu 3.57
Sn: 0.2500 0.7500 0.2500  4 Ba 3.57, 4 Eu 3.57
Sn: 0.7500 0.2500 0.2500  4 Ba 3.57, 4 Eu 3.57
Sn: 0.7500 0.7500 0.7500  4 Ba 3.57, 4 Eu 3.57

***

No. 14
The following is a DFT calculation (PBE-GGA) of a relaxed BaSrEuMg crystal.

## Properties
Formation energy from the elements (meV/atom): 59

abc: 8.9115 8.9115 8.9115
angles: 90.00 90.00 90.00
With the nearest neighbours (Å) after each atom.
Sites, in units of the cell vectors:
Ba: 0.0000 0.0000 0.0000  4 Mg 3.86, 4 Eu 3.86
Ba: 0.0000 0.5000 0.5000  4 Mg 3.86, 4 Eu 3.86
Ba: 0.5000 0.0000 0.5000  4 Mg 3.86, 4 Eu 3.86
Ba: 0.5000 0.5000 0.0000  4 Mg 3.86, 4 Eu 3.86
Sr: 0.0000 0.0000 0.5000  4 Mg 3.86, 4 Eu 3.86
Sr: 0.0000 0.5000 0.0000  4 Mg 3.86, 4 Eu 3.86
Sr: 0.5000 0.0000 0.0000  4 Mg 3.86, 4 Eu 3.86
Sr: 0.5000 0.5000 0.5000  4 Mg 3.86, 4 Eu 3.86
Eu: 0.2500 0.2500 0.7500  4 Ba 3.86, 4 Sr 3.86
Eu: 0.2500 0.7500 0.2500  4 Ba 3.86, 4 Sr 3.86
Eu: 0.7500 0.2500 0.2500  4 Ba 3.86, 4 Sr 3.86
Eu: 0.7500 0.7500 0.7500  4 Ba 3.86, 4 Sr 3.86
Mg: 0.2500 0.2500 0.2500  4 Sr 3.86, 4 Ba 3.86
Mg: 0.2500 0.7500 0.7500  4 Sr 3.86, 4 Ba 3.86
Mg: 0.7500 0.2500 0.7500  4 Sr 3.86, 4 Ba 3.86
Mg: 0.7500 0.7500 0.2500  4 Sr 3.86, 4 Ba 3.86

***

No. 15
The following is a DFT calculation (PBE-GGA) of a relaxed BaEuMgTl crystal.

## Properties
Formation energy from the elements (meV/atom): -225

abc: 8.3153 8.3153 8.3153
angles: 90.00 90.00 90.00
With the nearest neighbours (Å) after each atom.
Sites, in units of the cell vectors:
Ba: 0.0000 0.0000 0.0000  4 Tl 3.60, 4 Mg 3.60
Ba: 0.0000 0.5000 0.5000  4 Tl 3.60, 4 Mg 3.60
Ba: 0.5000 0.0000 0.5000  4 Tl 3.60, 4 Mg 3.60
Ba: 0.5000 0.5000 0.0000  4 Tl 3.60, 4 Mg 3.60
Eu: 0.0000 0.0000 0.5000  4 Mg 3.60, 4 Tl 3.60
Eu: 0.0000 0.5000 0.0000  4 Mg 3.60, 4 Tl 3.60
Eu: 0.5000 0.0000 0.0000  4 Mg 3.60, 4 Tl 3.60
Eu: 0.5000 0.5000 0.5000  4 Mg 3.60, 4 Tl 3.60
Mg: 0.2500 0.2500 0.7500  4 Ba 3.60, 4 Eu 3.60
Mg: 0.2500 0.7500 0.2500  4 Ba 3.60, 4 Eu 3.60
Mg: 0.7500 0.2500 0.2500  4 Ba 3.60, 4 Eu 3.60
Mg: 0.7500 0.7500 0.7500  4 Eu 3.60, 4 Ba 3.60
Tl: 0.2500 0.2500 0.2500  4 Ba 3.60, 4 Eu 3.60
Tl: 0.2500 0.7500 0.7500  4 Ba 3.60, 4 Eu 3.60
Tl: 0.7500 0.2500 0.7500  4 Ba 3.60, 4 Eu 3.60
Tl: 0.7500 0.7500 0.2500  4 Ba 3.60, 4 Eu 3.60

***

| no. | total moment (μB/f.u.) |
| --- | --- |
| 1 | 7.121 |
| 2 | 7.865 |
| 3 | 7.177 |
| 4 | 7.610 |
| 5 | 7.732 |
| 6 | 15.287 |
| 7 | 14.823 |
| 8 | 15.843 |
| 9 | 7.600 |
| 10 | 7.522 |
| 11 | 7.546 |
| 12 | 7.204 |
| 13 | 7.216 |
| 14 | 7.493 |
| 15 | 7.082 |